DFT (PBE-GGA) results for NaNd2As after structural relaxation.

Cell: 4.0167 4.0167 11.1818 Å, 79.65 79.65 60.00°
With the nearest neighbours (Å) after each atom.
Fractional coordinates of all 4 atoms:
Nd (0.8858, 0.8858, 0.3426)  3 As 2.89
Nd (0.1142, 0.1142, 0.6574)  3 As 2.89
As (0.5000, 0.5000, 0.5000)  6 Nd 2.89
Na (0.0000, 0.0000, 0.0000)  2 Nd 3.75, 6 Na 4.02

Output
Energy of formation from the pure elements = -11.55 kcal/mol of atoms
Final energy = -0.3217 Ry/atom